1.
The following is a DFT calculation (PBE) of Dy7Tl2Os2 after structural relaxation.

D(E_F): 18.01 states/eV per cell
electronic total energy: -122.715 eV/cell
DFT formation energy: -0.177 eV per atom

CIF file:
```
data_Dy7Tl2Os2
_chemical_formula_sum 'Dy14 Tl4 Os4'
_cell_length_a 8.233
_cell_length_b 10.877
_cell_length_c 7.125
_cell_angle_alpha 90.00
_cell_angle_beta 90.00
_cell_angle_gamma 90.00
_symmetry_space_group_name_H-M 'C m m m'
_symmetry_Int_Tables_number 65
_symmetry_space_group_name_Hall '-C 2 2'
loop_
_atom_site_label
_atom_site_fract_x
_atom_site_fract_y
_atom_site_fract_z
Dy1 0.000 0.000 0.000
Dy2 0.000 0.500 0.238
Dy3 0.250 0.250 0.246
Tl1 0.182 0.000 0.500
Os1 0.000 0.291 0.000
```

***

2.
The following is a DFT calculation (PBE) of Dy4Tl3Os after structural relaxation.

D(E_F): 4.99 states/eV per cell
electronic total energy: -39.307 eV/cell
DFT formation energy: -0.321 eV per atom

CIF file:
```
data_Dy4Tl3Os
_chemical_formula_sum 'Dy4 Tl3 Os1'
_cell_length_a 3.544
_cell_length_b 3.544
_cell_length_c 16.135
_cell_angle_alpha 90.00
_cell_angle_beta 90.00
_cell_angle_gamma 90.00
_symmetry_space_group_name_H-M 'P 4/m m m'
_symmetry_Int_Tables_number 123
_symmetry_space_group_name_Hall '-P 4 2'
loop_
_atom_site_label
_atom_site_fract_x
_atom_site_fract_y
_atom_site_fract_z
Dy1 0.000 0.000 0.100
Dy2 0.000 0.000 0.368
Tl1 0.500 0.500 0.239
Tl2 0.500 0.500 0.500
Os1 0.500 0.500 0.000
```

***

Q: What is the electronic total energy in the second record?
A: -39.307 eV/cell

***

Q: Which of these has the lowest DFT formation energy?
A: Dy4Tl3Os

***

Q: D(E_F) of number 2 (Dy4Tl3Os)?
A: 4.99 states/eV per cell

***

Q: What is the D(E_F) in the first record?
A: 18.01 states/eV per cell